# 1
Computed, not measured: crystalline Ce8NiRu5 at its relaxed geometry at the PBE level of DFT.

Cell and atoms, written as POSCAR:
```
Ce8NiRu5
1.0
-4.308 4.308 4.256
4.308 -4.308 4.256
4.308 4.308 -4.256
Ce Ni Ru
8 1 5
Direct
0.264 0.513 0.135
0.373 0.124 0.361
0.378 0.130 0.865
0.487 0.622 0.751
0.763 0.013 0.639
0.870 0.736 0.249
0.876 0.237 0.249
0.987 0.627 0.751
0.250 0.750 0.500
0.000 0.000 0.000
0.130 0.248 0.618
0.488 0.870 0.119
0.630 0.512 0.382
0.752 0.370 0.881
```

Output
- Crystal system: tetragonal
- Symmetry: I-4 (82)
- DFT formation energy: -4.6 eV/f.u.



# 2
Computed, not measured: crystalline Ce6NiRu5 at its relaxed geometry at the PBE level of DFT.

Cell and atoms, written as POSCAR:
```
Ce6NiRu5
1.0
4.655 0.000 0.000
-0.094 6.889 0.000
-2.289 -0.132 7.781
Ce Ni Ru
6 1 5
Direct
0.002 0.248 0.002
0.343 0.751 0.668
0.344 0.251 0.667
0.656 0.749 0.333
0.657 0.249 0.332
0.998 0.752 0.998
0.500 0.000 0.000
0.060 0.502 0.311
0.234 0.994 0.337
0.500 0.500 0.000
0.766 0.006 0.663
0.940 0.498 0.689
```

Output
- Crystal system: triclinic
- Symmetry: P-1 (2)
- DFT formation energy: -3.7 eV/f.u.



# 3
Computed, not measured: crystalline Ce2Si3Ni4Ru at its relaxed geometry at the PBE level of DFT.

Cell and atoms, written as POSCAR:
```
Ce2Si3Ni4Ru
1.0
3.878 0.000 0.000
0.000 3.878 0.000
0.000 0.000 10.299
Ce Si Ni Ru
2 3 4 1
Direct
0.000 0.500 0.247
0.500 0.000 0.753
0.000 0.000 0.000
0.000 0.500 0.622
0.500 0.000 0.378
0.000 0.000 0.500
0.000 0.500 0.848
0.500 0.000 0.152
0.500 0.500 0.500
0.500 0.500 0.000
```

Output
- Energy relative to the elements, uncorrected: -0.637 eV per atom
- Crystal system: tetragonal
- Symmetry: P-4m2 (115)



# 4
Computed, not measured: crystalline CeSi2Ni2Ru at its relaxed geometry at the PBE level of DFT.

Cell and atoms, written as POSCAR:
```
CeSi2Ni2Ru
1.0
4.544 0.000 0.000
0.000 4.544 0.000
0.000 0.000 5.137
Ce Si Ni Ru
1 2 2 1
Direct
0.000 0.000 0.000
0.000 0.500 0.500
0.500 0.000 0.500
0.500 0.500 0.252
0.500 0.500 0.748
0.000 0.000 0.500
```

Output
- Energy relative to the elements, uncorrected: -0.137 eV per atom
- Crystal system: tetragonal
- Symmetry: P4/mmm (123)



# 5
Computed, not measured: crystalline CeSi2NiRu2 at its relaxed geometry at the PBE level of DFT.

Cell and atoms, written as POSCAR:
```
CeSi2NiRu2
1.0
4.356 0.000 0.000
0.000 4.356 0.000
0.000 0.000 5.266
Ce Si Ni Ru
1 2 1 2
Direct
0.000 0.000 0.000
0.000 0.500 0.500
0.500 0.000 0.500
0.000 0.000 0.500
0.500 0.500 0.240
0.500 0.500 0.760
```

Output
- Energy relative to the elements, uncorrected: -0.226 eV per atom
- Crystal system: tetragonal
- Symmetry: P4/mmm (123)



# 6
Computed, not measured: crystalline Ce2Si4Ni3Ru at its relaxed geometry at the PBE level of DFT.

Cell and atoms, written as POSCAR:
```
Ce2Si4Ni3Ru
1.0
4.029 0.000 0.000
0.000 4.029 0.000
0.000 0.000 9.671
Ce Si Ni Ru
2 4 3 1
Direct
0.000 0.500 0.245
0.500 0.000 0.755
0.000 0.000 0.000
0.000 0.500 0.634
0.500 0.000 0.366
0.500 0.500 0.000
0.000 0.500 0.878
0.500 0.000 0.122
0.500 0.500 0.500
0.000 0.000 0.500
```

Output
- Energy relative to the elements, uncorrected: -0.833 eV per atom
- Crystal system: tetragonal
- Symmetry: P-4m2 (115)



# 7
Computed, not measured: crystalline CeSmNiRu at its relaxed geometry at the PBE level of DFT.

Cell and atoms, written as POSCAR:
```
CeSmNiRu
1.0
3.932 0.000 0.000
0.000 3.824 0.000
0.000 0.000 11.319
Ce Sm Ni Ru
2 2 2 2
Direct
0.000 0.000 0.000
0.000 0.500 0.500
0.500 0.000 0.274
0.500 0.500 0.774
0.000 0.000 0.707
0.000 0.500 0.207
0.500 0.000 0.542
0.500 0.500 0.042
```

Output
- Crystal system: orthorhombic
- Symmetry: Amm2 (38)
- DFT formation energy: -1.5 eV/f.u.



# 8
Computed, not measured: crystalline CeThNiRu at its relaxed geometry at the PBE level of DFT.

Cell and atoms, written as POSCAR:
```
CeThNiRu
1.0
6.964 0.000 0.000
0.000 6.964 0.000
0.000 0.000 6.964
Ce Th Ni Ru
4 4 4 4
Direct
0.000 0.000 0.000
0.000 0.500 0.500
0.500 0.000 0.500
0.500 0.500 0.000
0.000 0.000 0.500
0.000 0.500 0.000
0.500 0.000 0.000
0.500 0.500 0.500
0.250 0.250 0.750
0.250 0.750 0.250
0.750 0.250 0.250
0.750 0.750 0.750
0.250 0.250 0.250
0.250 0.750 0.750
0.750 0.250 0.750
0.750 0.750 0.250
```

Output
- Crystal system: cubic
- Symmetry: F-43m (216)
- DFT formation energy: -1.2 eV/f.u.



# 9
Computed, not measured: crystalline CeUNiRu at its relaxed geometry at the PBE level of DFT.

Cell and atoms, written as POSCAR:
```
CeUNiRu
1.0
6.484 0.000 0.000
0.000 6.484 0.000
0.000 0.000 6.484
Ce U Ni Ru
4 4 4 4
Direct
0.000 0.000 0.000
0.000 0.500 0.500
0.500 0.000 0.500
0.500 0.500 0.000
0.250 0.250 0.750
0.250 0.750 0.250
0.750 0.250 0.250
0.750 0.750 0.750
0.250 0.250 0.250
0.250 0.750 0.750
0.750 0.250 0.750
0.750 0.750 0.250
0.000 0.000 0.500
0.000 0.500 0.000
0.500 0.000 0.000
0.500 0.500 0.500
```

Output
- Crystal system: cubic
- Symmetry: F-43m (216)
- DFT formation energy: -1.0 eV/f.u.



# 10
Computed, not measured: crystalline CeYNiRu at its relaxed geometry at the PBE level of DFT.

Cell and atoms, written as POSCAR:
```
CeYNiRu
1.0
6.851 0.000 0.000
0.000 6.851 0.000
0.000 0.000 6.851
Ce Y Ni Ru
4 4 4 4
Direct
0.000 0.000 0.000
0.000 0.500 0.500
0.500 0.000 0.500
0.500 0.500 0.000
0.000 0.000 0.500
0.000 0.500 0.000
0.500 0.000 0.000
0.500 0.500 0.500
0.250 0.250 0.750
0.250 0.750 0.250
0.750 0.250 0.250
0.750 0.750 0.750
0.250 0.250 0.250
0.250 0.750 0.750
0.750 0.250 0.750
0.750 0.750 0.250
```

Output
- Crystal system: cubic
- Symmetry: F-43m (216)
- DFT formation energy: -1.3 eV/f.u.



# 11
Computed, not measured: crystalline Ce2ZnNi5Ru2 at its relaxed geometry at the PBE level of DFT.

Cell and atoms, written as POSCAR:
```
Ce2ZnNi5Ru2
1.0
8.937 0.000 0.000
0.000 8.937 0.000
0.000 0.000 3.882
Ce Zn Ni Ru
4 2 10 4
Direct
0.176 0.324 0.000
0.324 0.824 0.000
0.676 0.176 0.000
0.824 0.676 0.000
0.000 0.000 0.000
0.500 0.500 0.000
0.000 0.500 0.500
0.056 0.808 0.500
0.192 0.056 0.500
0.308 0.556 0.500
0.444 0.308 0.500
0.500 0.000 0.500
0.556 0.692 0.500
0.692 0.444 0.500
0.808 0.944 0.500
0.944 0.192 0.500
0.132 0.632 0.000
0.368 0.132 0.000
0.632 0.868 0.000
0.868 0.368 0.000
```

Output
- Crystal system: tetragonal
- Symmetry: P4/mbm (127)
- DFT formation energy: -1.9 eV/f.u.



# 12
Computed, not measured: crystalline CeNiS2 at its relaxed geometry at the PBE level of DFT.

Cell and atoms, written as POSCAR:
```
CeNiS2
1.0
6.887 0.000 0.000
0.000 3.783 0.000
0.000 0.000 11.530
Ce Ni S
4 4 8
Direct
0.157 0.250 0.141
0.343 0.750 0.641
0.657 0.250 0.359
0.843 0.750 0.859
0.239 0.250 0.866
0.261 0.750 0.366
0.739 0.250 0.634
0.761 0.750 0.134
0.039 0.250 0.713
0.210 0.750 0.963
0.290 0.250 0.463
0.461 0.750 0.213
0.539 0.250 0.787
0.710 0.750 0.537
0.790 0.250 0.037
0.961 0.750 0.287
```

Output
- Excess energy over the best structure of this formula in the dataset: 0 meV per atom
- Energy relative to the elements, uncorrected: -1.431 eV per atom
- Crystal system: orthorhombic
- Symmetry: Pnma (62)



# 13
Computed, not measured: crystalline Ce2NiS4 at its relaxed geometry at the PBE level of DFT.

Cell and atoms, written as POSCAR:
```
Ce2NiS4
1.0
6.470 0.000 0.000
0.000 5.797 0.000
-2.332 0.000 7.440
Ce Ni S
4 2 8
Direct
0.236 0.250 0.432
0.253 0.250 0.940
0.747 0.750 0.060
0.764 0.750 0.568
0.260 0.750 0.190
0.740 0.250 0.810
0.071 0.750 0.386
0.078 0.750 0.900
0.485 0.510 0.742
0.485 0.990 0.742
0.515 0.010 0.258
0.515 0.490 0.258
0.922 0.250 0.100
0.929 0.250 0.614
```

Output
- Energy relative to the elements, uncorrected: -1.572 eV per atom
- Crystal system: monoclinic
- Symmetry: P2_1/m (11)



# 14
Computed, not measured: crystalline Ce2NiS3 at its relaxed geometry at the PBE level of DFT.

Cell and atoms, written as POSCAR:
```
Ce2NiS3
1.0
10.820 0.000 0.000
0.000 3.909 0.000
0.000 0.000 11.224
Ce Ni S
8 4 12
Direct
0.012 0.250 0.185
0.186 0.250 0.511
0.314 0.750 0.011
0.488 0.750 0.685
0.512 0.250 0.315
0.686 0.250 0.989
0.814 0.750 0.489
0.988 0.750 0.815
0.242 0.750 0.283
0.258 0.250 0.783
0.742 0.750 0.217
0.758 0.250 0.717
0.055 0.750 0.370
0.124 0.250 0.944
0.220 0.750 0.695
0.280 0.250 0.195
0.376 0.750 0.444
0.445 0.250 0.870
0.555 0.750 0.130
0.624 0.250 0.556
0.720 0.750 0.805
0.780 0.250 0.305
0.876 0.750 0.056
0.945 0.250 0.630
```

Output
- Energy relative to the elements, uncorrected: -1.701 eV per atom
- Crystal system: orthorhombic
- Symmetry: Pnma (62)



# 15
Computed, not measured: crystalline CeNiS at its relaxed geometry at the PBE level of DFT.

Cell and atoms, written as POSCAR:
```
CeNiS
1.0
3.751 0.000 0.000
0.000 4.131 0.000
-1.871 0.000 7.531
Ce Ni S
2 2 2
Direct
0.128 0.250 0.256
0.872 0.750 0.744
0.465 0.250 0.931
0.535 0.750 0.069
0.320 0.250 0.641
0.680 0.750 0.359
```

Output
- Energy relative to the elements, uncorrected: -1.162 eV per atom
- Crystal system: monoclinic
- Symmetry: P2_1/m (11)



# 16
Computed, not measured: crystalline Ce3Ni2S6 at its relaxed geometry at the PBE level of DFT.

Cell and atoms, written as POSCAR:
```
Ce3Ni2S6
1.0
-2.195 2.195 11.240
2.195 -2.195 11.240
2.195 2.195 -11.240
Ce Ni S
3 2 6
Direct
0.000 0.000 0.000
0.170 0.170 0.000
0.830 0.830 0.000
0.395 0.395 0.000
0.605 0.605 0.000
0.081 0.581 0.500
0.294 0.294 0.000
0.419 0.919 0.500
0.581 0.081 0.500
0.706 0.706 0.000
0.919 0.419 0.500
```

Output
- Energy relative to the elements, uncorrected: -1.421 eV per atom
- Crystal system: tetragonal
- Symmetry: I4/mmm (139)



# 17
Computed, not measured: crystalline CeNi2S3 at its relaxed geometry at the PBE level of DFT.

Cell and atoms, written as POSCAR:
```
CeNi2S3
1.0
4.027 -5.470 0.000
4.027 5.470 0.000
0.000 0.000 4.877
Ce Ni S
2 4 6
Direct
0.236 0.764 0.750
0.764 0.236 0.250
0.322 0.322 0.000
0.322 0.322 0.500
0.678 0.678 0.000
0.678 0.678 0.500
0.054 0.339 0.750
0.339 0.054 0.250
0.390 0.610 0.250
0.610 0.390 0.750
0.661 0.946 0.750
0.946 0.661 0.250
```

Output
- Energy relative to the elements, uncorrected: -0.942 eV per atom
- Crystal system: orthorhombic
- Symmetry: Cmcm (63)



# 18
Computed, not measured: crystalline CeNi5S4 at its relaxed geometry at the PBE level of DFT.

Cell and atoms, written as POSCAR:
```
CeNi5S4
1.0
-1.848 3.305 6.049
1.848 -3.305 6.049
1.848 3.305 -6.049
Ce Ni S
1 5 4
Direct
0.000 0.000 0.000
0.016 0.319 0.697
0.378 0.681 0.697
0.500 0.000 0.500
0.622 0.319 0.303
0.984 0.681 0.303
0.232 0.232 0.000
0.296 0.500 0.796
0.704 0.500 0.204
0.768 0.768 0.000
```

Output
- Energy relative to the elements, uncorrected: -0.617 eV per atom
- Crystal system: orthorhombic
- Symmetry: Immm (71)



# 19
Computed, not measured: crystalline Ce3NiS6 at its relaxed geometry at the PBE level of DFT.

Cell and atoms, written as POSCAR:
```
Ce3NiS6
1.0
5.413 -6.662 0.000
5.413 6.662 0.000
0.000 0.000 6.301
Ce Ni S
6 2 12
Direct
0.114 0.886 0.500
0.219 0.430 0.582
0.430 0.219 0.082
0.570 0.781 0.582
0.781 0.570 0.082
0.886 0.114 0.000
0.307 0.693 0.157
0.693 0.307 0.657
0.068 0.598 0.299
0.137 0.186 0.292
0.186 0.137 0.792
0.280 0.720 0.794
0.402 0.932 0.299
0.464 0.536 0.275
0.536 0.464 0.775
0.598 0.068 0.799
0.720 0.280 0.294
0.814 0.863 0.292
0.863 0.814 0.792
0.932 0.402 0.799
```

Output
- Energy relative to the elements, uncorrected: -1.626 eV per atom
- Crystal system: orthorhombic
- Symmetry: Cmc2_1 (36)



# 20
Computed, not measured: crystalline Ce4NiS7 at its relaxed geometry at the PBE level of DFT.

Cell and atoms, written as POSCAR:
```
Ce4NiS7
1.0
7.390 -2.329 0.000
7.390 2.329 0.000
-6.487 0.000 7.830
Ce Ni S
4 1 7
Direct
0.082 0.082 0.289
0.221 0.221 0.829
0.779 0.779 0.171
0.918 0.918 0.711
0.500 0.500 0.500
0.000 0.000 0.500
0.138 0.138 0.055
0.291 0.291 0.640
0.426 0.426 0.230
0.574 0.574 0.770
0.709 0.709 0.360
0.862 0.862 0.945
```

Output
- Energy relative to the elements, uncorrected: -1.697 eV per atom
- Crystal system: monoclinic
- Symmetry: C2/m (12)



# 21
Computed, not measured: crystalline Ce2NiS6 at its relaxed geometry at the PBE level of DFT.

Cell and atoms, written as POSCAR:
```
Ce2NiS6
1.0
5.926 0.000 0.000
0.000 5.926 0.000
0.000 0.000 12.092
Ce Ni S
4 2 12
Direct
0.000 0.000 0.168
0.000 0.000 0.832
0.500 0.500 0.332
0.500 0.500 0.668
0.000 0.000 0.500
0.500 0.500 0.000
0.178 0.178 0.358
0.178 0.178 0.642
0.218 0.218 0.000
0.282 0.718 0.500
0.322 0.678 0.142
0.322 0.678 0.858
0.678 0.322 0.142
0.678 0.322 0.858
0.718 0.282 0.500
0.782 0.782 0.000
0.822 0.822 0.358
0.822 0.822 0.642
```

Output
- Energy relative to the elements, uncorrected: -0.936 eV per atom
- Crystal system: tetragonal
- Symmetry: P4_2/mnm (136)



Calculated density readings, ordered: 8.85; 9.35; 7.51; 6.49; 7.60; 7.08; 8.79; 10.46; 13.11; 8.03; 9.01; 5.81; 5.56; 6.09; 6.57; 5.60; 5.47; 6.31; 4.91; 5.20; 4.16 g cm⁻³